Record 1
Al2InAgBr8 PBE optimized geometry; electronic total energy = -3.0882 eV per atom; space group = P-3m1 (164); formation energy from raw total energies = -10.60 eV per formula unit
1.0
-0.1824 -5.9486 4.7377
6.4493 3.9250 -0.9304
-2.4023 5.5886 6.9245
Ag Br Al In
1 8 2 1
Direct
0.0000 0.0000 0.0000
0.8346 0.1654 0.2101
0.6667 0.3333 0.5435
0.6692 0.8346 0.7899
0.3333 0.6667 0.4565
0.8346 0.6692 0.2101
0.1654 0.8346 0.7899
0.1654 0.3308 0.7899
0.3308 0.1654 0.2101
0.3333 0.6667 0.7048
0.6667 0.3333 0.2952
0.0000 0.0000 0.5000


Record 2
K2AlAgBr6 PBE optimized geometry; electronic total energy = -3.0628 eV per atom; space group = P-3m1 (164); formation energy from raw total energies = -11.80 eV per formula unit; energy above the lowest structure with this stoichiometry = 0.0000 eV/atom
1.0
-2.0935 -0.7923 -6.6672
1.7979 -7.2227 0.2938
-6.8573 2.2110 1.8905
Br K Al Ag
6 2 1 1
Direct
0.2110 0.3195 0.1598
0.7890 0.1598 0.3195
0.7890 0.1598 0.8402
0.2110 0.8402 0.6805
0.7890 0.6805 0.8402
0.2110 0.8402 0.1598
0.1660 0.3333 0.6667
0.8340 0.6667 0.3333
0.0000 0.0000 0.0000
0.5000 0.0000 0.0000


Record 3
KAl2AgBr8 PBE optimized geometry; electronic total energy = -3.1774 eV per atom; space group = P-3 (147); formation energy from raw total energies = -13.31 eV per formula unit
1.0
-3.1770 -4.9313 -3.5971
4.3863 -1.6904 5.0252
-7.5380 0.0457 6.5949
Br K Ag Al
8 1 1 2
Direct
0.9863 0.6606 0.3193
0.3257 0.9863 0.6807
0.0137 0.3394 0.6807
0.6606 0.6743 0.6807
0.6667 0.3333 0.0166
0.3333 0.6667 0.9834
0.3394 0.3257 0.3193
0.6743 0.0137 0.3193
0.0000 0.0000 0.0000
0.0000 0.0000 0.5000
0.6667 0.3333 0.2485
0.3333 0.6667 0.7515